Entry 1:
ZrScSe3: single point on PBEsol structure, meta-GGA SCAN.

Lattice parameters (Å, degrees): 4.965 4.965 4.965 90.00 90.00 90.00
Last column: magnetic moment on the atom in μB.
Positions (direct):
Zr 0.500 0.500 0.500  1.08
Se 0.500 0.000 0.000  -0.12
Se 0.000 0.500 0.000  -0.12
Sc 0.000 0.000 0.000  0.03
Se 0.000 0.000 0.500  -0.12

ΔE_f (raw) in eV/atom: -0.66
Calculated volume in Å³/atom: 24.48
Total magnetic moment in μB per formula unit: 1.0
VASP energy in eV per atom: -21.69



Entry 2:
Li2MoW: single point on PBEsol structure, meta-GGA SCAN.

Lattice parameters (Å, degrees): 3.194 3.194 6.279 90.00 90.00 90.00
Positions (direct):
Li 0.500 0.500 0.250
W 0.500 0.500 0.719
Mo 0.000 0.000 0.532
Li 0.000 0.000 0.999

Energy relative to the elements in eV/atom: 0.477
Calculated volume in Å³/atom: 16.01
Distance to the lowest polymorph of the same formula in meV per atom: 10.9
Total magnetic moment in μB per formula unit: 0.0
VASP energy in eV per atom: -26.86



Entry 3:
MgCr2BI: single point on PBEsol structure, meta-GGA SCAN.

Lattice parameters (Å, degrees): 4.956 4.956 5.390 90.00 90.00 90.00
Last column: magnetic moment on the atom in μB.
Positions (direct):
B 0.500 0.500 0.500  -0.29
I 0.000 0.000 0.000  -0.05
Mg 0.000 0.000 0.500  -0.01
Cr 0.500 0.000 0.000  4.12
Cr 0.000 0.500 0.000  4.12

ΔE_f (raw) in eV/atom: 1.84
Calculated volume in Å³/atom: 26.48
Total magnetic moment in μB per formula unit: 8.2
VASP energy in eV per atom: -15.34



Entry 4:
BaZr2Mo: single point on PBEsol structure, meta-GGA SCAN.

Lattice parameters (Å, degrees): 5.007 5.007 5.007 60.00 60.00 60.00
Positions (direct):
Zr 0.250 0.250 0.250
Zr 0.750 0.750 0.750
Ba 0.500 0.500 0.500
Mo 0.000 0.000 0.000

Energy relative to the elements in eV/atom: 0.836
Calculated volume in Å³/atom: 22.19
Distance to the lowest polymorph of the same formula in meV per atom: 156.3
Total magnetic moment in μB per formula unit: 0.0
VASP energy in eV per atom: -33.12



Entry 5:
K2O2F: single point on PBEsol structure, meta-GGA SCAN.

Lattice parameters (Å, degrees): 3.745 7.030 7.030 90.00 90.00 90.00
Last column: magnetic moment on the atom in μB.
Positions (direct):
O 0.500 0.568 0.932  0.41
O 0.500 0.432 0.068  0.41
F 0.000 0.500 0.500  0.01
K 0.000 0.208 0.292  0.00
O 0.500 0.932 0.432  0.41
K 0.000 0.708 0.208  0.00
O 0.500 0.068 0.568  0.41
K 0.000 0.292 0.792  0.00
F 0.000 0.000 0.000  0.01
K 0.000 0.792 0.708  0.00

ΔE_f (raw) in eV/atom: -1.66
Calculated volume in Å³/atom: 18.51
Total magnetic moment in μB per formula unit: 1.0
VASP energy in eV per atom: -8.19



Entry 6:
ZnNiIr2: single point on PBEsol structure, meta-GGA SCAN.

Lattice parameters (Å, degrees): 4.170 4.170 4.170 60.00 60.00 60.00
Last column: magnetic moment on the atom in μB.
Positions (direct):
Zn 0.500 0.500 0.500  0.00
Ni 0.000 0.000 0.000  1.18
Ir 0.250 0.250 0.250  0.49
Ir 0.750 0.750 0.750  0.49

Energy relative to the elements in eV/atom: -0.014
Calculated volume in Å³/atom: 12.82
Total magnetic moment in μB per formula unit: 2.1
VASP energy in eV per atom: -42.99



Entry 7:
NaB3Rh: single point on PBEsol structure, meta-GGA SCAN.

Lattice parameters (Å, degrees): 4.058 4.058 4.058 90.00 90.00 90.00
Positions (direct):
B 0.000 0.500 0.000
Rh 0.000 0.000 0.000
Na 0.500 0.500 0.500
B 0.500 0.000 0.000
B 0.000 0.000 0.500

Energy relative to the elements in eV/atom: 0.747
Calculated volume in Å³/atom: 13.36
Total magnetic moment in μB per formula unit: 0.0
VASP energy in eV per atom: -11.31



Entry 8:
MnZnPtS2: single point on PBEsol structure, meta-GGA SCAN.

Lattice parameters (Å, degrees): 4.195 4.195 4.938 90.00 90.00 90.00
Last column: magnetic moment on the atom in μB.
Positions (direct):
Pt 0.000 0.000 0.500  0.11
S 0.500 0.000 0.000  0.02
Zn 0.500 0.500 0.500  0.01
S 0.000 0.500 0.000  0.02
Mn 0.000 0.000 0.000  2.46

ΔE_f (raw) in eV/atom: 0.32
Calculated volume in Å³/atom: 17.38
Total magnetic moment in μB per formula unit: 2.7
VASP energy in eV per atom: -23.93